(1)
BeZnRhO4 after structural relaxation, computed with PBE.

```
BeZnRhO4
1.0
-2.851 2.859 4.161
2.851 -2.859 4.161
2.851 2.859 -4.161
Be Zn Rh O
2 2 2 8
direct
0.356 0.106 0.250
0.644 0.894 0.750
0.000 0.500 0.500
0.500 0.500 0.000
0.000 0.000 0.500
0.000 0.500 0.000
0.245 0.236 0.492
0.245 0.753 0.008
0.246 0.238 0.009
0.271 0.762 0.509
0.729 0.238 0.491
0.754 0.762 0.991
0.755 0.247 0.992
0.755 0.764 0.508
```

The symmetry is Imma (74).

(2)
Be2RuO after structural relaxation, computed with PBE.

```
Be2RuO
1.0
0.000 2.704 2.704
2.704 0.000 2.704
2.704 2.704 0.000
Be Ru O
2 1 1
direct
0.250 0.250 0.250
0.750 0.750 0.750
0.000 0.000 0.000
0.500 0.500 0.500
```

The symmetry is Fm-3m (225). As for the distance to the lowest polymorph of the same formula: 1.069 eV per atom.

(3)
BeRu2O after structural relaxation, computed with PBE.

```
BeRu2O
1.0
-2.428 2.428 4.574
2.428 -2.428 4.574
2.428 2.428 -4.574
Be Ru O
2 4 2
direct
0.000 0.000 0.000
0.750 0.250 0.500
0.163 0.625 0.038
0.375 0.413 0.538
0.587 0.125 0.962
0.875 0.837 0.462
0.250 0.750 0.500
0.500 0.500 0.000
```

The symmetry is I-42d (122). As for the distance to the lowest polymorph of the same formula: 0.000 eV per atom.

(4)
Be2RuO after structural relaxation, computed with PBE.

```
Be2RuO
1.0
-2.476 2.476 3.332
2.476 -2.476 3.332
2.476 2.476 -3.332
Be Ru O
4 2 2
direct
0.002 0.125 0.377
0.375 0.998 0.123
0.748 0.625 0.623
0.875 0.252 0.877
0.250 0.750 0.500
0.500 0.500 0.000
0.000 0.000 0.000
0.750 0.250 0.500
```

The symmetry is I-42d (122). As for the distance to the lowest polymorph of the same formula: 0.000 eV per atom.

(5)
BeRu3O after structural relaxation, computed with PBE.

```
BeRu3O
1.0
3.987 0.000 0.000
0.000 3.987 0.000
0.000 0.000 3.987
Be Ru O
1 3 1
direct
0.000 0.000 0.000
0.000 0.500 0.500
0.500 0.000 0.500
0.500 0.500 0.000
0.500 0.500 0.500
```

The symmetry is Pm-3m (221). As for the distance to the lowest polymorph of the same formula: 0.000 eV per atom.

(6)
Be3RuO after structural relaxation, computed with PBE.

```
Be3RuO
1.0
3.536 0.000 0.000
0.000 3.536 0.000
0.000 0.000 3.536
Be Ru O
3 1 1
direct
0.000 0.000 0.500
0.000 0.500 0.000
0.500 0.000 0.000
0.500 0.500 0.500
0.000 0.000 0.000
```

The symmetry is Pm-3m (221). As for the distance to the lowest polymorph of the same formula: 0.000 eV per atom.

(7)
Be2Ru4O after structural relaxation, computed with PBE.

```
Be2Ru4O
1.0
-1.934 1.934 5.935
1.934 -1.934 5.935
1.934 1.934 -5.935
Be Ru O
2 4 1
direct
0.132 0.132 0.000
0.868 0.868 0.000
0.000 0.500 0.500
0.320 0.320 0.000
0.500 0.000 0.500
0.680 0.680 0.000
0.500 0.500 0.000
```

The symmetry is I4/mmm (139).

(8)
Be3RuO after structural relaxation, computed with PBE.

```
Be3RuO
1.0
4.085 0.000 0.000
0.000 4.085 0.000
0.000 0.000 4.085
Be Ru O
3 1 1
direct
0.000 0.000 0.500
0.000 0.500 0.000
0.500 0.000 0.000
0.000 0.000 0.000
0.500 0.500 0.500
```

The symmetry is Pm-3m (221). As for the distance to the lowest polymorph of the same formula: 1.691 eV per atom.

(9)
BeRu2O after structural relaxation, computed with PBE.

```
BeRu2O
1.0
0.000 2.779 2.779
2.779 0.000 2.779
2.779 2.779 0.000
Be Ru O
1 2 1
direct
0.000 0.000 0.000
0.250 0.250 0.250
0.750 0.750 0.750
0.500 0.500 0.500
```

The symmetry is Fm-3m (225). As for the distance to the lowest polymorph of the same formula: 0.029 eV per atom.

(10)
Sr3Be2RuO6 after structural relaxation, computed with PBE.

```
Sr3Be2RuO6
1.0
5.466 0.000 0.000
-2.733 4.733 0.000
0.000 0.000 6.582
Sr Be Ru O
3 2 1 6
direct
0.000 0.000 0.000
0.333 0.667 0.664
0.667 0.333 0.336
0.333 0.667 0.260
0.667 0.333 0.740
0.000 0.000 0.500
0.173 0.346 0.287
0.173 0.827 0.287
0.346 0.173 0.713
0.654 0.827 0.287
0.827 0.173 0.713
0.827 0.654 0.713
```

The symmetry is P-3m1 (164).

(11)
Sr3Be2RuO8 after structural relaxation, computed with PBE.

```
Sr3Be2RuO8
1.0
5.390 0.000 0.000
-2.695 4.668 0.000
0.000 0.000 6.914
Sr Be Ru O
3 2 1 8
direct
0.000 0.000 0.000
0.333 0.667 0.670
0.667 0.333 0.330
0.333 0.667 0.234
0.667 0.333 0.766
0.000 0.000 0.500
0.169 0.337 0.330
0.169 0.831 0.330
0.333 0.667 0.011
0.337 0.169 0.670
0.663 0.831 0.330
0.667 0.333 0.989
0.831 0.169 0.670
0.831 0.663 0.670
```

The symmetry is P-3m1 (164).

(12)
SrBeRuO5 after structural relaxation, computed with PBE.

```
SrBeRuO5
1.0
3.313 -4.427 0.000
3.313 4.427 0.000
-2.988 0.000 6.585
Sr Be Ru O
2 2 2 10
direct
0.162 0.838 0.750
0.838 0.162 0.250
0.193 0.807 0.250
0.807 0.193 0.750
0.500 0.500 0.000
0.500 0.500 0.500
0.125 0.269 0.905
0.204 0.611 0.388
0.269 0.125 0.405
0.389 0.796 0.112
0.435 0.565 0.750
0.565 0.435 0.250
0.611 0.204 0.888
0.731 0.875 0.595
0.796 0.389 0.612
0.875 0.731 0.095
```

The symmetry is C2/c (15).

Formation energy (no corrections), record by record: -1.31; 0.42; 0.36; -0.65; 0.33; -0.57; 0.39; 1.12; 0.39; -2.17; -2.18; -1.79 eV per atom